Entry 1:
Below is CSe2 after structural relaxation, with properties calculated at the PBE level.

a = 6.487 Å, b = 6.487 Å, c = 9.459 Å
α = 90.00°, β = 90.00°, γ = 60.23°
Element x y z (fractional)
C  0.092  0.908  0.750
C  0.908  0.092  0.250
Se  0.060  0.244  0.250
Se  0.244  0.060  0.750
Se  0.756  0.940  0.250
Se  0.940  0.756  0.750

Output
The value obtained for the uncorrected energy is -28.35 eV per cell. The offset from the most stable computed form is 0.112 eV per atom. The calculation puts the magnetization at 0.0 Bohr magnetons per cell. Its formation energy from raw total energies is 2.0 eV per formula unit.

Entry 2:
Below is YHo6Er2Tm3 after structural relaxation, with properties calculated at the PBE level.

a = 6.087 Å, b = 6.087 Å, c = 11.650 Å
α = 94.99°, β = 94.99°, γ = 119.93°
Element x y z (fractional)
Y  0.000  0.000  0.000
Ho  0.084  0.418  0.251
Ho  0.250  0.250  0.749
Ho  0.418  0.084  0.251
Ho  0.582  0.916  0.749
Ho  0.750  0.750  0.251
Ho  0.916  0.582  0.749
Er  0.333  0.667  0.000
Er  0.667  0.333  0.000
Tm  0.167  0.833  0.500
Tm  0.500  0.500  0.500
Tm  0.833  0.167  0.500

Output
The value obtained for the uncorrected energy is -56.19 eV per cell. The calculation puts the magnetization at 0.0 Bohr magnetons per cell. The calculation puts the energy of formation at 0.28 eV per formula unit.

Entry 3:
Below is Ho2Tm6Tl after structural relaxation, with properties calculated at the PBE level.

a = 8.506 Å, b = 8.506 Å, c = 11.542 Å
α = 124.60°, β = 124.60°, γ = 23.56°
Element x y z (fractional)
Ho  0.167  0.167  0.318
Ho  0.833  0.833  0.682
Tm  0.112  0.112  0.553
Tm  0.274  0.274  0.891
Tm  0.448  0.448  0.247
Tm  0.552  0.552  0.753
Tm  0.726  0.726  0.109
Tm  0.888  0.888  0.447
Tl  0.500  0.500  0.000

Output
The value obtained for the uncorrected energy is -38.35 eV per cell. The calculation puts the magnetization at 0.0 Bohr magnetons per cell. The calculation puts the energy of formation at 0.00 eV per formula unit.

Entry 4:
Below is La2DyHg after structural relaxation, with properties calculated at the PBE level.

a = 3.798 Å, b = 3.798 Å, c = 8.998 Å
α = 90.00°, β = 90.00°, γ = 90.00°
Element x y z (fractional)
La  0.000  0.000  0.226
La  0.000  0.000  0.774
Dy  0.500  0.500  0.500
Hg  0.500  0.500  0.000

Output
The value obtained for the uncorrected energy is -15.62 eV per cell. The offset from the most stable computed form is 0.025 eV per atom. The calculation puts the magnetization at 0.0 Bohr magnetons per cell. The calculation puts the energy of formation at -0.86 eV per formula unit.

Entry 5:
Below is Fe4CoN after structural relaxation, with properties calculated at the PBE level.

a = 4.711 Å, b = 4.828 Å, c = 5.928 Å
α = 90.00°, β = 90.00°, γ = 90.00°
Element x y z (fractional)
Fe  0.000  0.166  0.138
Fe  0.000  0.834  0.862
Fe  0.250  0.346  0.750
Fe  0.250  0.654  0.250
Fe  0.500  0.166  0.362
Fe  0.500  0.834  0.638
Fe  0.750  0.346  0.750
Fe  0.750  0.654  0.250
Co  0.000  0.000  0.500
Co  0.500  0.000  0.000
N  0.000  0.500  0.000
N  0.500  0.500  0.500

Output
The value obtained for the uncorrected energy is -96.59 eV per cell. The calculation puts the magnetization at 21.0 Bohr magnetons per cell. Its formation energy from raw total energies is 1.0 eV per formula unit.

Entry 6:
Below is ScCd2Pd2 after structural relaxation, with properties calculated at the PBE level.

a = 7.245 Å, b = 7.245 Å, c = 7.245 Å
α = 148.93°, β = 148.93°, γ = 44.51°
Element x y z (fractional)
Sc  0.000  0.000  0.000
Cd  0.250  0.750  0.500
Cd  0.750  0.250  0.500
Pd  0.404  0.404  0.000
Pd  0.596  0.596  0.000

Output
The value obtained for the uncorrected energy is -20.25 eV per cell. The offset from the most stable computed form is 0.182 eV per atom. The calculation puts the magnetization at 0.0 Bohr magnetons per cell. The calculation puts the energy of formation at -1.70 eV per formula unit.

Entry 7:
Below is Sm5TlZn2 after structural relaxation, with properties calculated at the PBE level.

a = 9.457 Å, b = 9.457 Å, c = 9.457 Å
α = 132.17°, β = 132.17°, γ = 69.96°
Element x y z (fractional)
Sm  0.000  0.000  0.000
Sm  0.019  0.519  0.832
Sm  0.187  0.019  0.500
Sm  0.313  0.813  0.832
Sm  0.481  0.313  0.500
Sm  0.500  0.500  0.000
Sm  0.519  0.687  0.500
Sm  0.687  0.187  0.168
Sm  0.813  0.981  0.500
Sm  0.981  0.481  0.168
Tl  0.250  0.250  0.000
Tl  0.750  0.750  0.000
Zn  0.121  0.379  0.500
Zn  0.379  0.879  0.259
Zn  0.621  0.121  0.741
Zn  0.879  0.621  0.500

Output
The value obtained for the uncorrected energy is -60.78 eV per cell. The calculation puts the magnetization at 0.0 Bohr magnetons per cell. The calculation puts the energy of formation at -1.88 eV per formula unit.

Entry 8:
Below is Ce4AuSe3 after structural relaxation, with properties calculated at the PBE level.

a = 7.376 Å, b = 7.376 Å, c = 4.181 Å
α = 90.00°, β = 90.00°, γ = 109.16°
Element x y z (fractional)
Ce  0.246  0.754  0.000
Ce  0.247  0.247  0.500
Ce  0.753  0.753  0.500
Ce  0.754  0.246  0.000
Au  0.500  0.500  0.000
Se  0.000  0.000  0.000
Se  0.000  0.500  0.500
Se  0.500  0.000  0.500

Output
The value obtained for the uncorrected energy is -49.17 eV per cell. The calculation puts the magnetization at 4.3 Bohr magnetons per cell. Its formation energy from raw total energies is -11.7 eV per formula unit.

Entry 9:
Below is Ni2AgAu after structural relaxation, with properties calculated at the PBE level.

a = 4.364 Å, b = 4.364 Å, c = 4.364 Å
α = 60.00°, β = 60.00°, γ = 60.00°
Element x y z (fractional)
Ni  0.000  0.000  0.000
Ni  0.250  0.250  0.250
Ag  0.500  0.500  0.500
Au  0.750  0.750  0.750

Output
The value obtained for the uncorrected energy is -16.59 eV per cell. The calculation puts the magnetization at 0.8 Bohr magnetons per cell. The calculation puts the energy of formation at 1.11 eV per formula unit.

Entry 10:
Below is Li2YOs after structural relaxation, with properties calculated at the PBE level.

a = 5.764 Å, b = 5.764 Å, c = 4.581 Å
α = 113.16°, β = 113.16°, γ = 32.97°
Element x y z (fractional)
Li  0.219  0.219  0.218
Li  0.781  0.781  0.782
Y  0.000  0.000  0.500
Os  0.500  0.500  0.000

Output
The value obtained for the uncorrected energy is -20.89 eV per cell. The offset from the most stable computed form is 0.000 eV per atom. The calculation puts the magnetization at 0.1 Bohr magnetons per cell. The calculation puts the energy of formation at 0.63 eV per formula unit.

Entry 11:
Below is Pm4TcGe after structural relaxation, with properties calculated at the PBE level.

a = 8.115 Å, b = 8.115 Å, c = 6.440 Å
α = 106.48°, β = 106.48°, γ = 112.04°
Element x y z (fractional)
Pm  0.055  0.702  0.915
Pm  0.224  0.357  0.699
Pm  0.298  0.945  0.585
Pm  0.357  0.224  0.199
Pm  0.643  0.776  0.801
Pm  0.702  0.055  0.415
Pm  0.776  0.643  0.301
Pm  0.945  0.298  0.085
Tc  0.002  0.998  0.250
Tc  0.998  0.002  0.750
Ge  0.371  0.629  0.250
Ge  0.629  0.371  0.750

Output
The value obtained for the uncorrected energy is -71.52 eV per cell. The calculation puts the magnetization at 0.0 Bohr magnetons per cell. The calculation puts the energy of formation at -1.78 eV per formula unit.

Entry 12:
Below is SrIn2Rh after structural relaxation, with properties calculated at the PBE level.

a = 4.611 Å, b = 4.611 Å, c = 6.337 Å
α = 111.24°, β = 111.24°, γ = 59.92°
Element x y z (fractional)
Sr  0.000  0.000  0.000
In  0.210  0.210  0.629
In  0.790  0.790  0.371
Rh  0.500  0.500  0.500

Output
The value obtained for the uncorrected energy is -16.03 eV per cell. The calculation puts the magnetization at 0.0 Bohr magnetons per cell. The calculation puts the energy of formation at -1.52 eV per formula unit.

Entry 13:
Below is CoSeBr2 after structural relaxation, with properties calculated at the PBE level.

a = 3.108 Å, b = 3.108 Å, c = 11.237 Å
α = 90.00°, β = 90.00°, γ = 90.00°
Element x y z (fractional)
Co  0.000  0.000  0.000
Se  0.000  0.000  0.500
Br  0.500  0.500  0.144
Br  0.500  0.500  0.856

Output
The value obtained for the uncorrected energy is -12.40 eV per cell. The calculation puts the magnetization at 2.9 Bohr magnetons per cell. Its formation energy from raw total energies is 1.5 eV per formula unit.

Entry 14:
Below is LaTbHo3 after structural relaxation, with properties calculated at the PBE level.

a = 3.587 Å, b = 11.433 Å, c = 8.910 Å
α = 90.00°, β = 101.55°, γ = 90.00°
Element x y z (fractional)
La  0.022  0.250  0.052
La  0.978  0.750  0.948
Tb  0.298  0.750  0.595
Tb  0.702  0.250  0.405
Ho  0.164  0.000  0.327
Ho  0.164  0.500  0.327
Ho  0.360  0.250  0.724
Ho  0.640  0.750  0.276
Ho  0.836  0.000  0.673
Ho  0.836  0.500  0.673

Output
The value obtained for the uncorrected energy is -43.72 eV per cell. The offset from the most stable computed form is 0.108 eV per atom. The calculation puts the magnetization at 0.0 Bohr magnetons per cell. The calculation puts the energy of formation at 1.43 eV per formula unit.

Entry 15:
Below is OF3 after structural relaxation, with properties calculated at the PBE level.

a = 3.719 Å, b = 3.719 Å, c = 3.719 Å
α = 60.00°, β = 60.00°, γ = 60.00°
Element x y z (fractional)
O  0.000  0.000  0.000
F  0.250  0.250  0.250
F  0.500  0.500  0.500
F  0.750  0.750  0.750

Output
The value obtained for the uncorrected energy is -5.09 eV per cell. The offset from the most stable computed form is 1.171 eV per atom. The calculation puts the magnetization at 0.0 Bohr magnetons per cell. Its formation energy from raw total energies is 5.5 eV per formula unit.

Entry 16:
Below is KCeTiO5 after structural relaxation, with properties calculated at the PBE level.

a = 6.311 Å, b = 6.311 Å, c = 8.182 Å
α = 104.17°, β = 104.17°, γ = 105.98°
Element x y z (fractional)
K  0.169  0.831  0.750
K  0.831  0.169  0.250
Ce  0.500  0.500  0.000
Ce  0.500  0.500  0.500
Ti  0.185  0.815  0.250
Ti  0.815  0.185  0.750
O  0.116  0.263  0.895
O  0.204  0.620  0.384
O  0.263  0.116  0.395
O  0.380  0.796  0.116
O  0.436  0.564  0.750
O  0.564  0.436  0.250
O  0.620  0.204  0.884
O  0.737  0.884  0.605
O  0.796  0.380  0.616
O  0.884  0.737  0.105

Output
The value obtained for the uncorrected energy is -121.30 eV per cell. The calculation puts the magnetization at 2.1 Bohr magnetons per cell. Its formation energy from raw total energies is -20.9 eV per formula unit.

Entry 17:
Below is YAlCo2 after structural relaxation, with properties calculated at the PBE level.

a = 3.059 Å, b = 3.059 Å, c = 6.889 Å
α = 90.00°, β = 90.00°, γ = 90.00°
Element x y z (fractional)
Y  0.000  0.000  0.000
Al  0.500  0.500  0.343
Co  0.000  0.000  0.543
Co  0.500  0.500  0.713

Output
The value obtained for the uncorrected energy is -24.82 eV per cell. The calculation puts the magnetization at 2.5 Bohr magnetons per cell. The calculation puts the energy of formation at -0.41 eV per formula unit.

Entry 18:
Below is Pr6Sm3Tm2In after structural relaxation, with properties calculated at the PBE level.

a = 6.293 Å, b = 6.293 Å, c = 11.884 Å
α = 95.19°, β = 95.19°, γ = 120.26°
Element x y z (fractional)
Pr  0.080  0.407  0.243
Pr  0.246  0.246  0.755
Pr  0.407  0.080  0.243
Pr  0.593  0.920  0.757
Pr  0.754  0.754  0.245
Pr  0.920  0.593  0.757
Sm  0.169  0.831  0.500
Sm  0.500  0.500  0.500
Sm  0.831  0.169  0.500
Tm  0.334  0.666  0.000
Tm  0.666  0.334  0.000
In  0.000  0.000  0.000

Output
The value obtained for the uncorrected energy is -54.80 eV per cell. The calculation puts the magnetization at 0.0 Bohr magnetons per cell. The calculation puts the energy of formation at -0.29 eV per formula unit.

Entry 19:
Below is BaY2Be after structural relaxation, with properties calculated at the PBE level.

a = 6.046 Å, b = 6.046 Å, c = 6.046 Å
α = 132.25°, β = 132.25°, γ = 69.83°
Element x y z (fractional)
Ba  0.000  0.000  0.000
Y  0.250  0.750  0.500
Y  0.750  0.250  0.500
Be  0.500  0.500  0.000

Output
The value obtained for the uncorrected energy is -16.16 eV per cell. The calculation puts the magnetization at 0.0 Bohr magnetons per cell. The calculation puts the energy of formation at 2.42 eV per formula unit.

Entry 20:
Below is MgSc2AgN after structural relaxation, with properties calculated at the PBE level.

a = 4.385 Å, b = 4.385 Å, c = 4.440 Å
α = 90.00°, β = 90.00°, γ = 90.00°
Element x y z (fractional)
Mg  0.000  0.000  0.000
Sc  0.000  0.500  0.500
Sc  0.500  0.000  0.500
Ag  0.500  0.500  0.000
N  0.000  0.000  0.500

Output
The value obtained for the uncorrected energy is -29.14 eV per cell. The calculation puts the magnetization at 0.0 Bohr magnetons per cell. Its formation energy from raw total energies is -3.7 eV per formula unit.